Entry a
P2PbSeCl: single point on PBEsol structure, meta-GGA SCAN.

Results
symmetry: P4/mmm (123)
crystal system: tetragonal

Cell: 4.799 4.799 4.941 Å, 90.00 90.00 90.00°
Atoms (fractional coordinates):
Pb 0.500 0.500 0.500
P 0.000 0.500 0.000
P 0.500 0.000 0.000
Cl 0.000 0.000 0.500
Se 0.000 0.000 0.000



Entry b
P2PbSeCl: single point on PBEsol structure, meta-GGA SCAN.

Results
symmetry: P4/mmm (123)
crystal system: tetragonal

Cell: 5.030 5.203 5.203 Å, 90.00 90.00 90.00°
Atoms (fractional coordinates):
P 0.000 0.000 0.500
P 0.000 0.500 0.000
Se 0.500 0.500 0.500
Pb 0.000 0.000 0.000
Cl 0.500 0.000 0.000



List of relative energies, unit meV/atom: entry a 0; entry b 502



Entry a
ReP2PdCl: single point on PBEsol structure, meta-GGA SCAN.

Results
symmetry: P4/mmm (123)
crystal system: tetragonal

Cell: 4.604 4.604 4.561 Å, 90.00 90.00 90.00°
Atoms (fractional coordinates):
Cl 0.000 0.000 0.500
Pd 0.000 0.000 0.000
Re 0.500 0.500 0.500
P 0.000 0.500 0.000
P 0.500 0.000 0.000



Entry b
ReP2PdCl: single point on PBEsol structure, meta-GGA SCAN.

Results
symmetry: P4/mmm (123)
crystal system: tetragonal

Cell: 4.497 4.497 4.912 Å, 90.00 90.00 90.00°
Atoms (fractional coordinates):
P 0.000 0.500 0.000
P 0.500 0.000 0.000
Cl 0.000 0.000 0.500
Re 0.000 0.000 0.000
Pd 0.500 0.500 0.500



List of relative energies, unit meV/atom: entry a 736; entry b 0



Entry a
SrRePCl2: single point on PBEsol structure, meta-GGA SCAN.

Results
symmetry: P4/mmm (123)
crystal system: tetragonal

Cell: 5.250 5.250 5.997 Å, 90.00 90.00 90.00°
Atoms (fractional coordinates):
Sr 0.000 0.000 0.000
Cl 0.500 0.000 0.000
Cl 0.000 0.500 0.000
Re 0.500 0.500 0.500
P 0.000 0.000 0.500



Entry b
SrRePCl2: single point on PBEsol structure, meta-GGA SCAN.

Results
symmetry: P4/mmm (123)
crystal system: tetragonal

Cell: 4.563 4.917 4.917 Å, 90.00 90.00 90.00°
Atoms (fractional coordinates):
Cl 0.000 0.000 0.500
Cl 0.000 0.500 0.000
Sr 0.500 0.500 0.500
P 0.500 0.000 0.000
Re 0.000 0.000 0.000



List of relative energies, unit meV/atom: entry a 1140; entry b 0



Entry a
PRh2Cl: single point on PBEsol structure, meta-GGA SCAN.

Results
symmetry: I-4m2 (119)
crystal system: tetragonal

Cell: 3.440 3.440 5.360 Å, 108.71 108.71 90.00°
Atoms (fractional coordinates):
Rh 0.750 0.250 0.500
Rh 0.000 0.000 0.000
P 0.250 0.750 0.500
Cl 0.500 0.500 0.000



Entry b
PRh2Cl: single point on PBEsol structure, meta-GGA SCAN.

Results
symmetry: P4mm (99)
crystal system: tetragonal

Cell: 3.274 3.274 5.742 Å, 90.00 90.00 89.99°
Atoms (fractional coordinates):
P 0.500 0.500 0.862
Cl 0.000 0.000 0.464
Rh 0.000 0.000 0.936
Rh 0.500 0.500 0.238



Entry c
PRh2Cl: single point on PBEsol structure, meta-GGA SCAN.

Results
symmetry: P4/mmm (123)
crystal system: tetragonal

Cell: 2.938 4.300 4.300 Å, 90.00 90.00 90.00°
Atoms (fractional coordinates):
Rh 0.000 0.000 0.500
Rh 0.000 0.500 0.000
P 0.500 0.000 0.000
Cl 0.500 0.500 0.500



Entry d
PRh2Cl: single point on PBEsol structure, meta-GGA SCAN.

Results
symmetry: Pm (6)
crystal system: monoclinic

Cell: 3.422 4.032 5.235 Å, 90.00 94.22 90.00°
Atoms (fractional coordinates):
Cl 0.573 0.000 0.426
Rh 0.654 0.500 0.163
Rh 0.152 0.000 0.042
P 0.121 0.500 0.868



List of relative energies, unit meV/atom: entry a 536; entry b 123; entry c 483; entry d 0